No. 1
! PBE-GGA Er8Ga3PSe3, optimized geometry; values from VASP
! raw formation energy	-1576.9	kJ/mol of formula units
&SYSTEM
  ibrav = 0, nat = 15, ntyp = 4
/
ATOMIC_SPECIES
Er 167.26 Er.upf
Ga 69.72 Ga.upf
P 30.97 P.upf
Se 78.96 Se.upf
ATOMIC_POSITIONS angstrom
Er -0.064 0.000 5.243
Er 3.435 2.023 5.242
Er 5.626 2.023 1.835
Er 2.267 0.000 1.804
Er 6.794 0.000 5.273
Er 3.435 -2.023 5.242
Er 5.626 -2.023 1.835
Er 9.125 0.000 1.835
Ga 0.000 0.000 0.000
Ga 3.396 1.964 0.000
Ga 3.396 -1.964 0.000
P -2.261 0.000 3.539
Se 1.135 1.964 3.539
Se 1.135 -1.964 3.539
Se 4.531 0.000 3.539
CELL_PARAMETERS angstrom
6.791 -3.929 0.000
6.791 3.929 0.000
-4.521 0.000 7.077

---

No. 2
! PBE-GGA Er4GaPSe2, optimized geometry; values from VASP
! raw formation energy	-1106.9	kJ/mol of formula units
&SYSTEM
  ibrav = 0, nat = 8, ntyp = 4
/
ATOMIC_SPECIES
Er 167.26 Er.upf
Ga 69.72 Ga.upf
P 30.97 P.upf
Se 78.96 Se.upf
ATOMIC_POSITIONS angstrom
Er 1.181 0.000 1.555
Er 0.034 1.986 5.106
Er 4.750 1.986 1.619
Er 3.604 0.000 5.170
Ga 3.528 0.000 0.000
P 0.000 1.986 0.000
Se -1.136 0.000 3.362
Se 2.392 1.986 3.362
CELL_PARAMETERS angstrom
7.057 0.000 0.000
0.000 3.973 0.000
-2.272 0.000 6.725

---

No. 3
! PBE-GGA ErGa2Tc2P, optimized geometry; values from VASP
! ΔE_f	-0.42	eV/atom
&SYSTEM
  ibrav = 0, nat = 6, ntyp = 4
/
ATOMIC_SPECIES
Er 167.26 Er.upf
Ga 69.72 Ga.upf
Tc 98.00 Tc.upf
P 30.97 P.upf
ATOMIC_POSITIONS angstrom
Er 0.000 0.000 0.000
Ga 2.220 2.220 1.243
Ga 2.220 2.220 4.272
Tc 0.000 2.220 2.757
Tc 2.220 0.000 2.757
P 0.000 0.000 2.757
CELL_PARAMETERS angstrom
4.440 0.000 0.000
0.000 4.440 0.000
0.000 0.000 5.515

---

Which formula does entry 3 have?
ErGa2Tc2P

---

Number 1 is which compound?
Er8Ga3PSe3